YSc5Sn6: optimized geometry, PBE-GGA.

Results
Formation enthalpy at 0 K   -563 meV per atom
Crystal system   monoclinic

a = 8.908 Å, b = 5.425 Å, c = 7.188 Å
α = 67.83°, β = 81.03°, γ = 65.58°
Positions (direct):
Sn 0.258 0.907 0.659
Sn 0.258 0.566 0.341
Sn 0.742 0.434 0.659
Sn 0.753 0.727 0.000
Sn 0.742 0.093 0.341
Sn 0.247 0.273 0.000
Y 0.000 0.000 0.000
Sc 0.000 0.671 0.657
Sc 0.000 0.329 0.343
Sc 0.500 0.839 0.322
Sc 0.500 0.161 0.678
Sc 0.500 0.500 0.000

***

Y3Sc5Sn2: optimized geometry, PBE-GGA.

Results
Formation enthalpy at 0 K   -118 meV per atom
Crystal system   orthorhombic

a = 6.099 Å, b = 10.031 Å, c = 10.031 Å
α = 95.04°, β = 72.30°, γ = 72.30°
Positions (direct):
Sn 0.648 0.002 0.702
Sn 0.352 0.998 0.298
Sn 0.852 0.298 0.998
Sn 0.148 0.702 0.002
Sc 0.491 0.259 0.259
Sc 0.609 0.232 0.550
Sc 0.109 0.550 0.232
Sc 0.391 0.768 0.450
Sc 0.991 0.259 0.259
Sc 0.891 0.450 0.768
Sc 0.009 0.741 0.741
Sc 0.250 0.500 0.500
Sc 0.750 0.500 0.500
Sc 0.509 0.741 0.741
Y 0.381 0.347 0.892
Y 0.250 0.000 0.000
Y 0.750 0.000 0.000
Y 0.881 0.892 0.347
Y 0.119 0.108 0.653
Y 0.619 0.653 0.108

***

> Which value of formation enthalpy at 0 K does entry 1 give?

-563 meV per atom

***

> Number 2 is which compound?

Y3Sc5Sn2

***

> Among the records above, which one has the lowest formation enthalpy at 0 K?

YSc5Sn6